The following is a PBE with a Hubbard U calculation of crystalline Ga2MoF at its relaxed geometry, from Alexandria via LeMat-Bulk.

The total energy comes out at -14.883 eV per cell. The space-group type is No. 225. The density of states at the Fermi level is 2.5 states/eV/f.u.

Cell lengths 4.641, 4.641, 4.641 Å; angles 60.00, 60.00, 60.00 degrees
Element x y z (fractional)
Ga  0.250  0.250  0.250
Ga  0.750  0.750  0.750
Mo  0.000  0.000  0.000
F  0.500  0.500  0.500